No. 1
Here is Na2SrHg3 after structural relaxation from Alexandria via LeMat-Bulk. Energies are from PBE-GGA.

Calculated values
- E_form: -322.4 meV per atom

Lattice parameters (Å, degrees): 3.854 3.854 11.339 90.00 90.00 90.00
Positions (direct):
Na 0.500 0.500 0.841
Na 0.500 0.500 0.159
Sr 0.500 0.500 0.500
Hg 0.000 0.000 0.000
Hg 0.000 0.000 0.684
Hg 0.000 0.000 0.316


No. 2
Here is Rb2ThGa2O6 after structural relaxation from Alexandria via LeMat-Bulk. Energies are from PBE-GGA.

Calculated values
- Formation energy (no corrections): -2219 meV/atom

Lattice parameters (Å, degrees): 6.237 6.235 7.289 114.90 90.00 120.01
Positions (direct):
Rb 0.706 0.411 0.117
Rb 0.294 0.589 0.883
Th 0.500 0.000 0.500
Ga 0.909 0.819 0.726
Ga 0.091 0.181 0.274
O 0.743 0.485 0.722
O 0.255 0.014 0.272
O 0.241 0.986 0.728
O 0.745 0.986 0.728
O 0.759 0.014 0.272
O 0.257 0.515 0.278


No. 3
Here is RbSnB after structural relaxation from Alexandria via LeMat-Bulk. Energies are from PBE-GGA.

Calculated values
- E_form: 368.3 meV per atom

Lattice parameters (Å, degrees): 11.514 11.514 8.938 49.90 49.90 90.00
Positions (direct):
B 0.926 0.926 0.000
B 0.074 0.074 0.000
B 0.074 0.926 0.000
B 0.926 0.074 0.000
Sn 0.255 0.000 0.000
Sn 0.745 0.000 0.000
Sn 0.000 0.255 0.000
Sn 0.000 0.745 0.000
Rb 0.784 0.500 0.000
Rb 0.216 0.500 0.000
Rb 0.500 0.784 0.000
Rb 0.500 0.216 0.000


| no. | total DFT energy (no corrections) (eV/atom) |
| --- | --- |
| 1 | -1.19 |
| 2 | -6.32 |
| 3 | -3.51 |